Record 1
First-principles (PBE-GGA) data for an optimized crystal structure of LiZnPd2, as listed in the Open Quantum Materials Database.

Computed properties:
- uncorrected energy (eV/atom) = -3.958
- crystal system = tetragonal

Cell lengths 4.284, 4.284, 3.015 Å; angles 90.00, 90.00, 90.00 degrees
Element x y z (fractional)
Li (0.500, 0.500, 0.000)
Zn (0.000, 0.000, 0.000)
Pd (0.500, 0.000, 0.500)
Pd (0.000, 0.500, 0.500)

***

Record 2
First-principles (PBE-GGA) data for an optimized crystal structure of NbAs2Ir, as listed in the Open Quantum Materials Database.

Computed properties:
- uncorrected energy (eV/atom) = -6.865
- crystal system = cubic

Cell lengths 4.572, 4.572, 4.572 Å; angles 60.00, 60.00, 60.00 degrees
Element x y z (fractional)
Nb (0.750, 0.750, 0.750)
As (0.250, 0.250, 0.250)
As (0.000, 0.000, 0.000)
Ir (0.500, 0.500, 0.500)

***

Record 3
First-principles (PBE-GGA) data for an optimized crystal structure of Zr2Pd, as listed in the Open Quantum Materials Database.

Computed properties:
- E_form (eV per atom) = -0.49
- uncorrected energy (eV/atom) = -7.912
- crystal system = orthorhombic

Cell lengths 4.736, 5.885, 5.885 Å; angles 132.53, 90.00, 90.00 degrees
Element x y z (fractional)
Pd (0.000, 0.253, 0.253)
Pd (0.500, 0.747, 0.747)
Zr (0.000, 0.594, 0.908)
Zr (0.500, 0.092, 0.406)
Zr (0.000, 0.908, 0.594)
Zr (0.500, 0.406, 0.092)

***

Record 4
First-principles (PBE-GGA) data for an optimized crystal structure of GaRe, as listed in the Open Quantum Materials Database.

Computed properties:
- uncorrected energy (eV/atom) = -6.675
- crystal system = cubic

Cell lengths 3.600, 3.600, 3.600 Å; angles 60.00, 60.00, 60.00 degrees
Element x y z (fractional)
Re (0.500, 0.500, 0.500)
Ga (0.000, 0.000, 0.000)

***

Record 5
First-principles (PBE-GGA) data for an optimized crystal structure of PmHgNO, as listed in the Open Quantum Materials Database.

Computed properties:
- offset from the most stable computed form (eV per atom) = 0.0000
- uncorrected energy (eV/atom) = -5.696
- crystal system = orthorhombic

Cell lengths 4.110, 6.513, 6.987 Å; angles 90.00, 90.00, 90.00 degrees
Element x y z (fractional)
O (0.500, 0.282, 0.113)
O (0.500, 0.782, 0.887)
N (0.000, 0.387, 0.681)
N (0.000, 0.887, 0.319)
Hg (0.000, 0.632, 0.490)
Hg (0.000, 0.132, 0.510)
Pm (0.500, 0.954, 0.149)
Pm (0.500, 0.454, 0.851)

***

Record 6
First-principles (PBE-GGA) data for an optimized crystal structure of Ag2AsS2, as listed in the Open Quantum Materials Database.

Computed properties:
- uncorrected energy (eV/atom) = -3.813
- crystal system = monoclinic

Cell lengths 9.776, 13.106, 6.927 Å; angles 90.00, 98.94, 90.00 degrees
Element x y z (fractional)
As (0.627, 0.825, 0.604)
As (0.616, 0.684, 0.348)
As (0.316, 0.312, 0.442)
As (0.305, 0.166, 0.685)
As (0.616, 0.316, 0.848)
As (0.316, 0.688, 0.942)
As (0.627, 0.175, 0.104)
As (0.305, 0.834, 0.185)
Ag (0.570, 0.604, 0.898)
Ag (0.960, 0.682, 0.880)
Ag (0.238, 0.404, 0.919)
Ag (0.693, 0.906, 0.126)
Ag (0.041, 0.905, 0.720)
Ag (0.238, 0.596, 0.419)
Ag (0.693, 0.094, 0.626)
Ag (0.570, 0.396, 0.398)
Ag (0.841, 0.496, 0.649)
Ag (0.356, 0.107, 0.129)
Ag (0.960, 0.318, 0.380)
Ag (0.841, 0.504, 0.149)
Ag (0.959, 0.206, 0.805)
Ag (0.356, 0.893, 0.629)
Ag (0.041, 0.095, 0.220)
Ag (0.959, 0.794, 0.305)
S (0.845, 0.632, 0.405)
S (0.159, 0.581, 0.049)
S (0.795, 0.920, 0.496)
S (0.731, 0.754, 0.888)
S (0.845, 0.368, 0.905)
S (0.429, 0.065, 0.513)
S (0.429, 0.935, 0.013)
S (0.089, 0.098, 0.600)
S (0.159, 0.419, 0.549)
S (0.193, 0.255, 0.154)
S (0.511, 0.569, 0.517)
S (0.731, 0.246, 0.388)
S (0.193, 0.745, 0.654)
S (0.795, 0.080, 0.996)
S (0.511, 0.431, 0.017)
S (0.089, 0.902, 0.100)

***

Record 7
First-principles (PBE-GGA) data for an optimized crystal structure of LiPmTl, as listed in the Open Quantum Materials Database.

Computed properties:
- offset from the most stable computed form (eV per atom) = 0.0000
- uncorrected energy (eV/atom) = -3.089
- crystal system = cubic

Cell lengths 4.785, 4.785, 4.785 Å; angles 60.00, 60.00, 60.00 degrees
Element x y z (fractional)
Pm (0.250, 0.250, 0.250)
Tl (0.750, 0.750, 0.750)
Li (0.000, 0.000, 0.000)

***

Record 8
First-principles (PBE-GGA) data for an optimized crystal structure of TmScAl4Ir2, as listed in the Open Quantum Materials Database.

Computed properties:
- uncorrected energy (eV/atom) = -6.279
- crystal system = orthorhombic

Cell lengths 4.165, 7.076, 5.317 Å; angles 90.00, 113.03, 90.00 degrees
Element x y z (fractional)
Sc (0.931, 0.000, 0.862)
Ir (0.785, 0.500, 0.570)
Ir (0.211, 0.000, 0.423)
Al (0.354, 0.701, 0.707)
Al (0.648, 0.193, 0.295)
Al (0.648, 0.807, 0.295)
Al (0.354, 0.299, 0.707)
Tm (0.070, 0.500, 0.140)

***

Record 9
First-principles (PBE-GGA) data for an optimized crystal structure of SrTaW, as listed in the Open Quantum Materials Database.

Computed properties:
- offset from the most stable computed form (eV per atom) = 1.3738
- uncorrected energy (eV/atom) = -5.949
- crystal system = cubic

Cell lengths 4.751, 4.751, 4.751 Å; angles 60.00, 60.00, 60.00 degrees
Element x y z (fractional)
Ta (0.250, 0.250, 0.250)
Sr (0.000, 0.000, 0.000)
W (0.750, 0.750, 0.750)

***

Record 10
First-principles (PBE-GGA) data for an optimized crystal structure of Gd2HoMg3Tl2Zn, as listed in the Open Quantum Materials Database.

Computed properties:
- uncorrected energy (eV/atom) = -3.051
- crystal system = orthorhombic

Cell lengths 4.584, 7.500, 7.500 Å; angles 119.67, 90.00, 90.00 degrees
Element x y z (fractional)
Mg (0.500, 0.000, 0.764)
Mg (0.500, 0.764, 0.000)
Mg (0.500, 0.235, 0.235)
Zn (0.000, 0.997, 0.997)
Tl (0.500, 0.336, 0.666)
Tl (0.500, 0.666, 0.336)
Gd (0.000, 0.415, 0.001)
Gd (0.000, 0.001, 0.415)
Ho (0.000, 0.587, 0.587)

***

Record 11
First-principles (PBE-GGA) data for an optimized crystal structure of Zr2Ga3Mo4C3, as listed in the Open Quantum Materials Database.

Computed properties:
- uncorrected energy (eV/atom) = -8.507
- crystal system = monoclinic

Cell lengths 5.448, 5.448, 13.706 Å; angles 90.57, 100.94, 119.83 degrees
Element x y z (fractional)
Ga (0.164, 0.858, 0.750)
Ga (0.836, 0.142, 0.250)
Ga (0.279, 0.029, 0.250)
Ga (0.608, 0.414, 0.750)
Ga (0.721, 0.971, 0.750)
Ga (0.392, 0.586, 0.250)
Zr (0.736, 0.538, 0.109)
Zr (0.071, 0.372, 0.609)
Zr (0.929, 0.628, 0.391)
Zr (0.264, 0.462, 0.891)
C (0.329, 0.664, 0.500)
C (0.000, 0.000, 0.500)
C (0.671, 0.336, 0.500)
C (0.336, 0.171, 0.000)
C (0.000, 0.500, 0.000)
C (0.664, 0.829, 0.000)
Mo (0.056, 0.197, 0.080)
Mo (0.277, 0.305, 0.420)
Mo (0.385, 0.857, 0.080)
Mo (0.944, 0.803, 0.920)
Mo (0.618, 0.976, 0.420)
Mo (0.615, 0.143, 0.920)
Mo (0.723, 0.695, 0.580)
Mo (0.382, 0.024, 0.580)

***

Record 12
First-principles (PBE-GGA) data for an optimized crystal structure of Lu4FeGeN2, as listed in the Open Quantum Materials Database.

Computed properties:
- uncorrected energy (eV/atom) = -6.886
- crystal system = hexagonal

Cell lengths 3.347, 3.347, 13.931 Å; angles 90.00, 90.00, 120.00 degrees
Element x y z (fractional)
Lu (0.667, 0.333, 0.835)
Lu (0.000, 0.000, 0.360)
Lu (0.000, 0.000, 0.640)
Lu (0.667, 0.333, 0.165)
Ge (0.000, 0.000, 0.000)
N (0.333, 0.667, 0.250)
N (0.333, 0.667, 0.750)
Fe (0.667, 0.333, 0.500)

***

Record 13
First-principles (PBE-GGA) data for an optimized crystal structure of YCd2Au, as listed in the Open Quantum Materials Database.

Computed properties:
- E_form (eV per atom) = -0.49
- uncorrected energy (eV/atom) = -3.369
- crystal system = cubic

Cell lengths 4.970, 4.970, 4.970 Å; angles 60.00, 60.00, 60.00 degrees
Element x y z (fractional)
Y (0.500, 0.500, 0.500)
Au (0.250, 0.250, 0.250)
Cd (0.000, 0.000, 0.000)
Cd (0.750, 0.750, 0.750)

***

Record 14
First-principles (PBE-GGA) data for an optimized crystal structure of SrLiTmSe3, as listed in the Open Quantum Materials Database.

Computed properties:
- offset from the most stable computed form (eV per atom) = 0.0392
- uncorrected energy (eV/atom) = -4.851
- crystal system = monoclinic

Cell lengths 7.890, 4.119, 9.828 Å; angles 90.00, 106.08, 90.00 degrees
Element x y z (fractional)
Li (0.586, 0.250, 0.589)
Li (0.414, 0.750, 0.411)
Se (0.565, 0.250, 0.838)
Se (0.435, 0.750, 0.162)
Se (0.752, 0.750, 0.543)
Se (0.248, 0.250, 0.457)
Se (0.064, 0.250, 0.856)
Se (0.936, 0.750, 0.144)
Tm (0.191, 0.250, 0.155)
Tm (0.809, 0.750, 0.845)
Sr (0.748, 0.250, 0.293)
Sr (0.252, 0.750, 0.707)

***

Record 15
First-principles (PBE-GGA) data for an optimized crystal structure of BaTbPb2, as listed in the Open Quantum Materials Database.

Computed properties:
- uncorrected energy (eV/atom) = -3.888
- crystal system = orthorhombic

Cell lengths 4.608, 6.743, 6.743 Å; angles 42.71, 90.00, 90.00 degrees
Element x y z (fractional)
Tb (0.500, 0.622, 0.622)
Ba (0.000, 0.360, 0.360)
Pb (0.500, 0.922, 0.922)
Pb (0.000, 0.095, 0.095)

***

Record 16
First-principles (PBE-GGA) data for an optimized crystal structure of NdLuNO, as listed in the Open Quantum Materials Database.

Computed properties:
- offset from the most stable computed form (eV per atom) = 0.1227
- uncorrected energy (eV/atom) = -7.698
- crystal system = tetragonal

Cell lengths 4.646, 4.646, 5.946 Å; angles 90.00, 90.00, 90.00 degrees
Element x y z (fractional)
N (0.250, 0.250, 0.619)
N (0.750, 0.750, 0.381)
Lu (0.750, 0.750, 0.031)
Lu (0.250, 0.250, 0.969)
O (0.250, 0.750, 0.000)
O (0.750, 0.250, 0.000)
Nd (0.750, 0.250, 0.500)
Nd (0.250, 0.750, 0.500)

***

Record 17
First-principles (PBE-GGA) data for an optimized crystal structure of ZrAlNiMo, as listed in the Open Quantum Materials Database.

Computed properties:
- uncorrected energy (eV/atom) = -7.294
- crystal system = cubic

Cell lengths 4.469, 4.469, 4.469 Å; angles 60.00, 60.00, 60.00 degrees
Element x y z (fractional)
Mo (0.250, 0.250, 0.250)
Ni (0.750, 0.750, 0.750)
Zr (0.500, 0.500, 0.500)
Al (0.000, 0.000, 0.000)

***

Record 18
First-principles (PBE-GGA) data for an optimized crystal structure of KNaTePd, as listed in the Open Quantum Materials Database.

Computed properties:
- offset from the most stable computed form (eV per atom) = 0.0471
- uncorrected energy (eV/atom) = -3.066
- crystal system = cubic

Cell lengths 5.149, 5.149, 5.149 Å; angles 60.00, 60.00, 60.00 degrees
Element x y z (fractional)
Pd (0.500, 0.500, 0.500)
Na (0.750, 0.750, 0.750)
K (0.000, 0.000, 0.000)
Te (0.250, 0.250, 0.250)

***

Record 19
First-principles (PBE-GGA) data for an optimized crystal structure of HgTeAsO, as listed in the Open Quantum Materials Database.

Computed properties:
- offset from the most stable computed form (eV per atom) = 0.2603
- uncorrected energy (eV/atom) = -3.313
- crystal system = tetragonal

Cell lengths 4.326, 4.326, 9.156 Å; angles 90.00, 90.00, 90.00 degrees
Element x y z (fractional)
Te (0.250, 0.250, 0.736)
Te (0.750, 0.750, 0.264)
As (0.750, 0.750, 0.951)
As (0.250, 0.250, 0.049)
Hg (0.250, 0.750, 0.500)
Hg (0.750, 0.250, 0.500)
O (0.750, 0.250, 0.000)
O (0.250, 0.750, 0.000)

***

Record 20
First-principles (PBE-GGA) data for an optimized crystal structure of TaCuSbW, as listed in the Open Quantum Materials Database.

Computed properties:
- offset from the most stable computed form (eV per atom) = 0.0000
- uncorrected energy (eV/atom) = -7.710
- crystal system = cubic

Cell lengths 4.582, 4.582, 4.582 Å; angles 60.00, 60.00, 60.00 degrees
Element x y z (fractional)
Cu (0.750, 0.750, 0.750)
Sb (0.000, 0.000, 0.000)
Ta (0.500, 0.500, 0.500)
W (0.250, 0.250, 0.250)

***

Record 21
First-principles (PBE-GGA) data for an optimized crystal structure of SrGa2AgPt, as listed in the Open Quantum Materials Database.

Computed properties:
- uncorrected energy (eV/atom) = -3.946
- crystal system = tetragonal

Cell lengths 4.535, 4.535, 10.369 Å; angles 90.00, 90.00, 90.00 degrees
Element x y z (fractional)
Ag (0.500, 0.500, 0.000)
Ag (0.000, 0.000, 0.000)
Pt (0.500, 0.000, 0.380)
Pt (0.000, 0.500, 0.620)
Sr (0.500, 0.000, 0.743)
Sr (0.000, 0.500, 0.257)
Ga (0.000, 0.000, 0.500)
Ga (0.000, 0.500, 0.861)
Ga (0.500, 0.500, 0.500)
Ga (0.500, 0.000, 0.139)

***

Record 22
First-principles (PBE-GGA) data for an optimized crystal structure of Zr2BeNb, as listed in the Open Quantum Materials Database.

Computed properties:
- uncorrected energy (eV/atom) = -7.467
- crystal system = cubic

Cell lengths 4.689, 4.689, 4.689 Å; angles 60.00, 60.00, 60.00 degrees
Element x y z (fractional)
Be (0.500, 0.500, 0.500)
Zr (0.750, 0.750, 0.750)
Zr (0.000, 0.000, 0.000)
Nb (0.250, 0.250, 0.250)

***

Record 23
First-principles (PBE-GGA) data for an optimized crystal structure of Sr2HfIn, as listed in the Open Quantum Materials Database.

Computed properties:
- uncorrected energy (eV/atom) = -3.661
- crystal system = cubic

Cell lengths 5.593, 5.593, 5.593 Å; angles 60.00, 60.00, 60.00 degrees
Element x y z (fractional)
In (0.750, 0.750, 0.750)
Hf (0.500, 0.500, 0.500)
Sr (0.000, 0.000, 0.000)
Sr (0.250, 0.250, 0.250)

***

Record 24
First-principles (PBE-GGA) data for an optimized crystal structure of MgNiPbW, as listed in the Open Quantum Materials Database.

Computed properties:
- uncorrected energy (eV/atom) = -5.131
- crystal system = cubic

Cell lengths 4.649, 4.649, 4.649 Å; angles 60.00, 60.00, 60.00 degrees
Element x y z (fractional)
Ni (0.750, 0.750, 0.750)
Pb (0.000, 0.000, 0.000)
Mg (0.250, 0.250, 0.250)
W (0.500, 0.500, 0.500)